# VGaCu2O4

VGaCu2O4 after structural relaxation (GGA+U, Alexandria via LeMat-Bulk).

POSCAR file:
```
VGaCu2O4
1.0
5.3663 0.0000 0.0000
0.0000 3.0353 0.0000
-1.7034 0.0000 5.7331
V Ga Cu O
1 1 2 4
direct
0.0000 0.0000 0.0000
0.5000 0.5000 0.0000
0.0000 0.5000 0.5000
0.5000 0.0000 0.5000
0.1157 0.5000 0.8248
0.3977 0.0000 0.1769
0.6023 0.0000 0.8231
0.8843 0.5000 0.1752
```

Properties
Space-group type = P2/m, No. 10
Calculated total energy = -6.214 eV per atom
Theoretical density = 5.5 Mg/m³

# GaCuWO6

GaCuWO6 after structural relaxation (GGA+U, Alexandria via LeMat-Bulk).

POSCAR file:
```
GaCuWO6
1.0
4.6477 0.0000 0.0000
0.0000 4.6477 0.0000
0.0000 0.0000 9.0568
Ga Cu W O
2 2 2 12
direct
0.0000 0.0000 0.0000
0.5000 0.5000 0.5000
0.0000 0.0000 0.6715
0.5000 0.5000 0.1715
0.0000 0.0000 0.3368
0.5000 0.5000 0.8368
0.1928 0.1928 0.1737
0.1974 0.1974 0.4954
0.2000 0.2000 0.8388
0.3000 0.7000 0.3388
0.3026 0.6974 0.9954
0.3072 0.6928 0.6737
0.6928 0.3072 0.6737
0.6974 0.3026 0.9954
0.7000 0.3000 0.3388
0.8000 0.8000 0.8388
0.8026 0.8026 0.4954
0.8072 0.8072 0.1737
```

Properties
Space-group type = P4_2nm, No. 102
Calculated total energy = -6.310 eV per atom
Theoretical density = 7.0 Mg/m³